# ZnWCI2

A relaxed ZnWCI2 crystal (PBE, the Alexandria database).

## Properties
ρ	7.104	g/cm³
DOS(E_F)	4.05	states/eV per cell
ΔE_f (raw)	1.96	eV per atom

Cell lengths 5.682, 5.682, 3.730 Å; angles 90.00, 90.00, 90.00 degrees
Space group P4/mmm (No. 123)
Unique sites:
Zn  0.000  0.000  0.000
W  0.500  0.500  0.500
C  0.000  0.000  0.500
I  0.000  0.500  0.000